Record 1
A PBEsol-optimized structure of CuTe3, computed with meta-GGA SCAN.

a b c (Å): 6.115 9.482 7.836
angles (deg): 90.00 90.00 90.00
Space group Pnma (No. 62)
Unique sites:
1 Cu 0.118 0.250 0.073 x4
2 Te 0.107 0.577 0.734 x8
3 Te 0.114 0.250 0.753 x4

Summary:
For the density of states at the Fermi level, the calculation gives 6.92 states/eV/cell. For the theoretical density, the calculation gives 6.524 Mg/m³. The spin magnetization comes out at 0.0 μB/cell. The uncorrected formation energy comes out at 28 meV/atom. As for the total DFT energy (no corrections): -31.710 eV per atom.

Record 2
A PBEsol-optimized structure of Cd2TcMo, computed with meta-GGA SCAN.

a b c (Å): 3.175 4.795 9.079
angles (deg): 90.00 90.00 90.00
Space group Imm2 (No. 44)
Unique sites:
1 Cd 0.000 0.000 0.000 x2
2 Cd 0.000 0.500 0.234 x2
3 Tc 0.000 0.500 0.766 x2
4 Mo 0.000 0.000 0.464 x2

Summary:
For the density of states at the Fermi level, the calculation gives 4.67 states/eV/cell. For the theoretical density, the calculation gives 10.061 Mg/m³. The spin magnetization comes out at 0.0 μB/cell. For the formation enthalpy at 0 K, the calculation gives 0.374 eV per atom. As for the total DFT energy (no corrections): -32.320 eV per atom. For the energy above the most stable polymorph in this dataset, the calculation gives 0 meV per atom.

Record 3
A PBEsol-optimized structure of Sr2P2O7, computed with meta-GGA SCAN.

a b c (Å): 8.899 5.373 13.166
angles (deg): 90.00 90.00 90.00
Space group Pnma (No. 62)
Unique sites:
1 Sr 0.125 0.250 0.086 x4
2 Sr 0.172 0.250 0.760 x4
3 P 0.032 0.250 0.317 x4
4 P 0.223 0.750 0.964 x4
5 O 0.084 0.015 0.261 x8
6 O 0.104 0.250 0.430 x4
7 O 0.137 0.750 0.668 x4
8 O 0.145 0.516 0.923 x8
9 O 0.225 0.750 0.080 x4

Summary:
For the density of states at the Fermi level, the calculation gives 0.00 states/eV/cell. For the theoretical density, the calculation gives 3.684 Mg/m³. The spin magnetization comes out at 0.0 μB/cell. The uncorrected formation energy comes out at -3082 meV/atom. As for the total DFT energy (no corrections): -12.988 eV per atom.

Record 4
A PBEsol-optimized structure of In2HgTe4, computed with meta-GGA SCAN.

a b c (Å): 6.218 6.218 12.373
angles (deg): 90.00 90.00 90.00
Space group I-4 (No. 82)
Unique sites:
1 In 0.000 0.000 0.000 x2
2 In 0.000 0.500 0.250 x2
3 Hg 0.000 0.000 0.500 x2
4 Te 0.217 0.721 0.860 x8

Summary:
For the theoretical density, the calculation gives 6.530 Mg/m³. The spin magnetization comes out at 0.0 μB/cell. The uncorrected formation energy comes out at -321 meV/atom. As for the total DFT energy (no corrections): -40.884 eV per atom.

Record 5
A PBEsol-optimized structure of Hf2SiBr, computed with meta-GGA SCAN.

a b c (Å): 6.618 6.618 6.618
angles (deg): 90.00 90.00 90.00
Space group Fm-3m (No. 225)
Unique sites:
1 Hf 0.250 0.250 0.250 x8
2 Si 0.000 0.000 0.000 x4
3 Br 0.000 0.000 0.500 x4

Summary:
For the density of states at the Fermi level, the calculation gives 11.81 states/eV/cell. For the theoretical density, the calculation gives 10.653 Mg/m³. The spin magnetization comes out at 0.0 μB/cell. The uncorrected formation energy comes out at -226 meV/atom. As for the total DFT energy (no corrections): -38.932 eV per atom.

Record 6
A PBEsol-optimized structure of BeAsP2, computed with meta-GGA SCAN.

a b c (Å): 3.312 3.312 5.528
angles (deg): 90.00 90.00 90.00
Space group P4mm (No. 99)
Unique sites:
1 Be 0.000 0.000 0.000 x1
2 As 0.500 0.500 0.899 x1
3 P 0.000 0.000 0.391 x1
4 P 0.500 0.500 0.479 x1

Summary:
For the density of states at the Fermi level, the calculation gives 1.41 states/eV/cell. For the theoretical density, the calculation gives 3.994 Mg/m³. The spin magnetization comes out at 0.0 μB/cell. For the formation enthalpy at 0 K, the calculation gives 0.100 eV per atom. As for the total DFT energy (no corrections): -11.236 eV per atom. For the energy above the most stable polymorph in this dataset, the calculation gives 0 meV per atom.

Record 7
A PBEsol-optimized structure of Nd2CdGe2, computed with meta-GGA SCAN.

a b c (Å): 7.384 7.384 4.289
angles (deg): 90.00 90.00 90.00
Space group P4/mbm (No. 127)
Unique sites:
1 Nd 0.179 0.321 0.000 x4
2 Cd 0.000 0.000 0.500 x2
3 Ge 0.120 0.620 0.500 x4

Summary:
For the density of states at the Fermi level, the calculation gives 3.48 states/eV/cell. For the theoretical density, the calculation gives 7.756 Mg/m³. The spin magnetization comes out at 0.0 μB/cell. For the formation enthalpy at 0 K, the calculation gives -0.826 eV per atom. As for the total DFT energy (no corrections): -31.977 eV per atom.

Record 8
A PBEsol-optimized structure of AlCo2W, computed with meta-GGA SCAN.

a b c (Å): 2.699 2.699 6.552
angles (deg): 90.00 90.00 90.00
Space group P4/mmm (No. 123)
Unique sites:
1 Al 0.000 0.000 0.000 x1
2 Co 0.500 0.500 0.231 x2
3 W 0.000 0.000 0.500 x1

Summary:
For the density of states at the Fermi level, the calculation gives 0.84 states/eV/cell. For the theoretical density, the calculation gives 11.437 Mg/m³. The spin magnetization comes out at 0.0 μB/cell. For the formation enthalpy at 0 K, the calculation gives -0.240 eV per atom. As for the total DFT energy (no corrections): -28.252 eV per atom.

Record 9
A PBEsol-optimized structure of BaY2NiO5, computed with meta-GGA SCAN.

a b c (Å): 3.723 5.713 11.245
angles (deg): 90.00 90.00 90.00
Space group Immm (No. 71)
Unique sites:
1 Ba 0.000 0.000 0.000 x2
2 Y 0.000 0.500 0.202 x4
3 Ni 0.000 0.000 0.500 x2
4 O 0.000 0.240 0.351 x8
5 O 0.000 0.500 0.000 x2

Summary:
For the theoretical density, the calculation gives 6.302 Mg/m³. The spin magnetization comes out at 4.0 μB/cell. The uncorrected formation energy comes out at -3109 meV/atom. As for the total DFT energy (no corrections): -18.950 eV per atom.

Record 10
A PBEsol-optimized structure of TmCo4B, computed with meta-GGA SCAN.

a b c (Å): 4.8806 4.8806 6.7514
angles (deg): 90.00 90.00 120.00
Space group P6/mmm (No. 191)
Unique sites:
1 Tm 0.0000 0.0000 0.0000 x1
2 Tm 0.0000 0.0000 0.5000 x1
3 Co 0.0000 0.5000 0.2143 x6
4 Co 0.3333 0.6667 0.5000 x2
5 B 0.3333 0.6667 0.0000 x2

Summary:
For the density of states at the Fermi level, the calculation gives 10.55 states/eV/cell. For the theoretical density, the calculation gives 9.907 Mg/m³. The spin magnetization comes out at 8.8 μB/cell. For the formation enthalpy at 0 K, the calculation gives -0.255 eV per atom. As for the total DFT energy (no corrections): -21.668 eV per atom.

Record 11
A PBEsol-optimized structure of Ni2AsRuI, computed with meta-GGA SCAN.

a b c (Å): 4.430 4.430 5.433
angles (deg): 90.00 90.00 90.00
Space group P4/mmm (No. 123)
Unique sites:
1 Ni 0.000 0.500 0.000 x2
2 As 0.000 0.000 0.500 x1
3 Ru 0.500 0.500 0.500 x1
4 I 0.000 0.000 0.000 x1

Summary:
For the density of states at the Fermi level, the calculation gives 3.78 states/eV/cell. For the theoretical density, the calculation gives 6.545 Mg/m³. The spin magnetization comes out at 2.2 μB/cell. The uncorrected formation energy comes out at 1745 meV/atom. As for the total DFT energy (no corrections): -23.076 eV per atom.

Record 12
A PBEsol-optimized structure of LiTa2CuO6, computed with meta-GGA SCAN.

a b c (Å): 5.1761 5.1761 13.9083
angles (deg): 90.00 90.00 120.00
Space group R32 (No. 155, hexagonal axes)
Unique sites:
1 Li 0.0000 0.0000 0.0000 x3
2 Ta 0.0000 0.0000 0.2515 x6
3 Cu 0.0000 0.0000 0.5000 x3
4 O 0.0000 0.3827 0.5000 x9
5 O 0.0000 0.6233 0.0000 x9

Summary:
For the theoretical density, the calculation gives 8.157 Mg/m³. The spin magnetization comes out at 0.2 μB/cell. The uncorrected formation energy comes out at -2547 meV/atom. As for the total DFT energy (no corrections): -21.362 eV per atom.

> The lowest total DFT energy (no corrections) belongs to which entry?

In2HgTe4

> Which value of theoretical density does entry 5 give?

10.653 Mg/m³

> Which value of theoretical density does entry 6 give?

3.994 Mg/m³